CuOs | Alexandria via LeMat-Bulk | SCAN | PBEsol geometry; energy relative to the elements = 0.36 eV/atom; distance to the lowest polymorph of the same formula = 122 meV per atom; energy = -43.1837 eV per atom; spin magnetization = 0.0 μB per cell; symmetry = No. 166
1.0
1.323 0.764 4.266
-1.323 0.764 4.266
0.000 -1.528 4.266
Cu Os
1 1
Cartesian
0.000 0.000 0.000 Cu
0.000 0.000 6.399 Os